Below is Ac2PmErSe5 after structural relaxation, with properties calculated at the PBE-GGA level.

Cell lengths 5.116, 5.116, 11.035 Å; angles 90.00, 90.00, 90.00 degrees
Fractional coordinates of all 9 atoms:
Ac  0.000  0.000  0.212
Ac  0.000  0.000  0.788
Pm  0.500  0.500  0.500
Er  0.500  0.500  0.000
Se  0.000  0.000  0.500
Se  0.000  0.500  0.000
Se  0.500  0.000  0.000
Se  0.500  0.500  0.251
Se  0.500  0.500  0.749

Properties
Fermi-level density of states   4.99 states/eV/f.u.
Calculated density   6.67 g cm⁻³
Volume   32.097 Å³/atom
Uncorrected formation energy   -1.5123 eV per atom
Total moment   0.00 μB per formula unit